DFT (PBE) results for a relaxed Tb2CoNi crystal.

Properties
- space-group type = R-3m, No. 166
- formation enthalpy at 0 K (eV/atom) = 0.45
- volume (Å³/f.u.) = 89.4

extended XYZ file:
```
4
Lattice="3.459 0.000 0.000 1.729 2.995 0.000 1.729 0.998 8.628" Properties=species:S:1:pos:R:3 pbc="T T T"
Ni 3.459 1.997 4.314
Tb 1.729 0.998 6.157
Tb 5.188 2.995 2.471
Co 0.000 0.000 0.000
```